Record 1
Compound: SrMnSb2I
Source: the Alexandria database
Functional: PBE
Structure: optimized geometry

Unit cell a=4.9478 b=4.9478 c=6.0246 alpha=90.00 beta=90.00 gamma=90.00
Fractional coordinates of all 5 atoms:
Sr 0.0000 0.0000 0.0000
Mn 0.5000 0.5000 0.5000
Sb 0.0000 0.5000 0.5000
Sb 0.5000 0.0000 0.5000
I 0.5000 0.5000 0.0000

Computed properties:
- M_tot: 0.0 μB/f.u.
- Offset from the most stable computed form: 0.000 eV per atom
- Uncorrected formation energy: -0.139 eV/atom
- Electronic total energy: -4.268 eV per atom

=====

Record 2
Compound: Ba2CoPb
Source: the Alexandria database
Functional: PBE
Structure: optimized geometry

Unit cell a=10.0739 b=10.0739 c=10.0739 alpha=24.06 beta=24.06 gamma=24.06
Fractional coordinates of all 4 atoms:
Ba 0.2354 0.2354 0.2354
Ba 0.7646 0.7646 0.7646
Co 0.5000 0.5000 0.5000
Pb 0.0000 0.0000 0.0000

Computed properties:
- M_tot: 0.8 μB/f.u.
- ΔH_f (0 K): 0.275 eV/atom
- Electronic total energy: -3.390 eV per atom

=====

Record 3
Compound: Ac6Ga3Ag
Source: the Alexandria database
Functional: PBE
Structure: optimized geometry

Unit cell a=7.7340 b=8.8509 c=13.0827 alpha=90.00 beta=125.57 gamma=90.00
Fractional coordinates of all 20 atoms:
Ac 0.0498 0.0775 0.2478
Ac 0.0498 0.4225 0.7478
Ac 0.2099 0.6746 0.0628
Ac 0.2099 0.8254 0.5628
Ac 0.4170 0.1738 0.0727
Ac 0.4170 0.3262 0.5727
Ac 0.5830 0.6738 0.4273
Ac 0.5830 0.8262 0.9273
Ac 0.7901 0.1746 0.4372
Ac 0.7901 0.3254 0.9372
Ac 0.9502 0.5775 0.2522
Ac 0.9502 0.9225 0.7522
Ga 0.0000 0.0000 0.0000
Ga 0.0000 0.5000 0.5000
Ga 0.3119 0.1232 0.7513
Ga 0.3119 0.3768 0.2513
Ga 0.6881 0.6232 0.7487
Ga 0.6881 0.8768 0.2487
Ag 0.5000 0.0000 0.5000
Ag 0.5000 0.5000 0.0000

Computed properties:
- M_tot: 0.0 μB/f.u.
- ΔH_f (0 K): -0.210 eV/atom
- Electronic total energy: -3.868 eV per atom

=====

no.,theoretical density (g/cm³)
1,5.8
2,6.0
3,7.7